(1)
This record from the Alexandria database describes crystalline K3PrNp2S6 at its relaxed geometry. The functional is GGA-PBE.

Structure (POSCAR):
```
K3PrNp2S6
1.0
7.165 -0.001 0.000
-3.582 6.205 0.000
-1.195 -2.069 7.379
S K Np Pr
6 3 2 1
Direct
0.276 0.276 0.796
0.724 0.724 0.204
0.412 0.068 0.204
0.932 0.588 0.796
0.068 0.412 0.204
0.588 0.932 0.796
0.165 0.835 0.500
0.835 0.165 0.500
0.500 0.500 0.500
0.333 0.667 0.000
0.667 0.333 0.000
0.000 0.000 0.000
```

Calculated values
Spin magnetization: 8.00 μB per formula unit
DFT total energy: -6.43 eV/atom
SG: C2/m, No. 12
Energy relative to the elements, uncorrected: -1.5349 eV per atom
D(E_F): 21.30 states/eV per cell
Volume: 328 Å³/f.u.

---

(2)
This record from the Alexandria database describes crystalline YTeO2 at its relaxed geometry. The functional is GGA-PBE.

Structure (POSCAR):
```
YTeO2
1.0
3.107 -4.426 4.209
5.571 -3.563 1.799
4.936 -1.398 4.544
Y O Te
1 2 1
Direct
0.500 0.500 0.500
0.886 0.886 0.886
0.114 0.114 0.114
0.000 0.000 0.000
```

Calculated values
Spin magnetization: 0.00 μB per formula unit
DFT total energy: -7.10 eV/atom
SG: R-3m, No. 166
Energy relative to the elements, uncorrected: -2.2167 eV per atom
D(E_F): 1.13 states/eV per cell
Volume: 71 Å³/f.u.

---

(3)
This record from the Alexandria database describes crystalline DyIn2Pd2 at its relaxed geometry. The functional is GGA-PBE.

Structure (POSCAR):
```
DyIn2Pd2
1.0
4.943 0.000 0.000
-2.472 4.044 -1.423
0.000 0.216 5.169
Pd In Dy
2 2 1
Direct
0.115 0.230 0.775
0.885 0.770 0.225
0.768 0.536 0.672
0.232 0.464 0.328
0.500 0.000 0.000
```

Calculated values
Spin magnetization: 0.00 μB per formula unit
DFT total energy: -4.73 eV/atom
SG: C2/m, No. 12
D(E_F): 1.58 states/eV per cell
Volume: 105 Å³/f.u.

---

(4)
This record from the Alexandria database describes crystalline MnCrB2 at its relaxed geometry. The functional is GGA-PBE.

Structure (POSCAR):
```
MnCrB2
1.0
0.000 2.548 2.548
2.548 0.000 2.548
2.548 2.548 0.000
Mn Cr B
1 1 2
Direct
0.500 0.500 0.500
0.000 0.000 0.000
0.750 0.750 0.750
0.250 0.250 0.250
```

Calculated values
Spin magnetization: 1.29 μB per formula unit
DFT total energy: -7.98 eV/atom
SG: Fm-3m, No. 225
D(E_F): 4.19 states/eV per cell
Volume: 33 Å³/f.u.

---

(5)
This record from the Alexandria database describes crystalline GaAgHg2 at its relaxed geometry. The functional is GGA-PBE.

Structure (POSCAR):
```
GaAgHg2
1.0
3.091 0.000 0.000
1.545 2.677 0.000
1.545 0.892 11.068
Ga Hg Ag
1 2 1
Direct
0.500 0.500 0.500
0.914 0.914 0.259
0.086 0.086 0.741
0.000 0.000 0.000
```

Calculated values
Spin magnetization: 0.00 μB per formula unit
DFT total energy: -1.47 eV/atom
SG: R-3m, No. 166
D(E_F): 1.47 states/eV per cell
Volume: 92 Å³/f.u.

---

(6)
This record from the Alexandria database describes crystalline Ac11Ir4Pb9 at its relaxed geometry. The functional is GGA-PBE.

Structure (POSCAR):
```
Ac11Ir4Pb9
1.0
-1.924 -3.861 -0.181
7.533 -3.232 -11.172
6.153 -3.623 11.875
Ac Pb Ir
11 9 4
Direct
0.000 0.417 0.084
0.000 0.166 0.834
0.000 0.376 0.624
0.000 0.690 0.690
0.000 0.916 0.583
0.000 0.834 0.166
0.000 0.310 0.310
0.000 0.084 0.417
0.000 0.624 0.376
0.000 0.583 0.916
0.000 0.000 0.000
0.500 0.371 0.840
0.500 0.629 0.160
0.500 0.840 0.371
0.500 0.500 0.500
0.500 0.218 0.071
0.500 0.782 0.929
0.500 0.071 0.218
0.500 0.929 0.782
0.500 0.160 0.629
0.500 0.445 0.242
0.500 0.242 0.445
0.500 0.555 0.758
0.500 0.758 0.555
```

Calculated values
Spin magnetization: 0.00 μB per formula unit
DFT total energy: -5.28 eV/atom
SG: Cmmm, No. 65
D(E_F): 16.79 states/eV per cell
Volume: 764 Å³/f.u.

---

(7)
This record from the Alexandria database describes crystalline Al2CdO at its relaxed geometry. The functional is GGA-PBE.

Structure (POSCAR):
```
Al2CdO
1.0
4.949 0.000 -0.001
0.000 4.785 0.000
-0.380 0.000 6.015
O Cd Al
2 2 4
Direct
0.508 0.812 0.875
0.492 0.312 0.125
0.068 0.824 0.349
0.932 0.324 0.651
0.586 0.828 0.581
0.270 0.561 0.975
0.730 0.061 0.025
0.414 0.328 0.419
```

Calculated values
Spin magnetization: 0.00 μB per formula unit
DFT total energy: -4.31 eV/atom
SG: P2_1, No. 4
Energy relative to the elements, uncorrected: -0.9703 eV per atom
D(E_F): 1.18 states/eV per cell
Volume: 71 Å³/f.u.

---

(8)
This record from the Alexandria database describes crystalline Sm2HfAl9 at its relaxed geometry. The functional is GGA-PBE.

Structure (POSCAR):
```
Sm2HfAl9
1.0
-4.310 -3.344 0.623
0.001 -4.951 -2.373
2.310 -6.241 6.670
Al Sm Hf
9 2 1
Direct
0.077 0.584 0.754
0.416 0.416 0.246
0.416 0.923 0.246
0.584 0.077 0.754
0.500 0.500 0.500
0.666 0.666 0.003
0.923 0.416 0.246
0.584 0.584 0.754
0.334 0.334 0.997
0.142 0.142 0.574
0.858 0.858 0.426
0.000 0.000 0.000
```

Calculated values
Spin magnetization: 0.00 μB per formula unit
DFT total energy: -4.65 eV/atom
SG: R-3m, No. 166
D(E_F): 6.65 states/eV per cell
Volume: 232 Å³/f.u.

---

(9)
This record from the Alexandria database describes crystalline Ag2Pb3O8 at its relaxed geometry. The functional is GGA-PBE.

Structure (POSCAR):
```
Ag2Pb3O8
1.0
5.834 0.000 0.577
0.000 6.616 0.000
-1.781 -3.308 5.186
Pb O Ag
3 8 2
Direct
0.500 0.000 0.000
0.000 0.740 0.000
0.000 0.260 0.000
0.375 0.350 0.254
0.873 0.601 0.201
0.625 0.096 0.746
0.375 0.904 0.254
0.130 0.901 0.803
0.625 0.650 0.746
0.870 0.099 0.197
0.127 0.399 0.799
0.558 0.715 0.431
0.442 0.285 0.569
```

Calculated values
Spin magnetization: 0.00 μB per formula unit
DFT total energy: -4.85 eV/atom
SG: C2/m, No. 12
Energy relative to the elements, uncorrected: -0.5033 eV per atom
D(E_F): 6.15 states/eV per cell
Volume: 207 Å³/f.u.

---

(10)
This record from the Alexandria database describes crystalline CsLaIr3 at its relaxed geometry. The functional is GGA-PBE.

Structure (POSCAR):
```
CsLaIr3
1.0
5.037 0.000 0.000
0.000 5.037 0.000
0.000 0.000 5.037
Ir Cs La
3 1 1
Direct
0.000 0.000 0.500
0.500 0.000 0.000
0.000 0.500 0.000
0.000 0.000 0.000
0.500 0.500 0.500
```

Calculated values
Spin magnetization: 0.00 μB per formula unit
DFT total energy: -4.56 eV/atom
SG: Pm-3m, No. 221
D(E_F): 9.39 states/eV per cell
Volume: 128 Å³/f.u.

---

(11)
This record from the Alexandria database describes crystalline LiTb6Ga5 at its relaxed geometry. The functional is GGA-PBE.

Structure (POSCAR):
```
LiTb6Ga5
1.0
-4.686 -1.677 1.089
1.041 -5.652 -4.225
0.457 -4.786 6.515
Tb Ga Li
6 5 1
Direct
0.170 0.750 0.661
0.500 0.257 0.000
0.830 0.750 0.339
0.170 0.250 0.661
0.830 0.250 0.339
0.500 0.743 0.000
0.334 0.500 0.331
0.344 0.000 0.311
0.656 0.000 0.689
0.666 0.500 0.669
0.000 0.500 0.000
0.000 0.000 0.000
```

Calculated values
Spin magnetization: 0.00 μB per formula unit
DFT total energy: -4.25 eV/atom
SG: Cmmm, No. 65
D(E_F): 6.27 states/eV per cell
Volume: 279 Å³/f.u.

---

(12)
This record from the Alexandria database describes crystalline YTc3Os at its relaxed geometry. The functional is GGA-PBE.

Structure (POSCAR):
```
YTc3Os
1.0
-3.733 0.571 2.845
-2.864 -1.467 -3.464
0.464 -4.458 1.504
Os Tc Y
1 3 1
Direct
0.000 0.000 0.000
0.000 0.000 0.500
0.500 0.000 0.000
0.000 0.500 0.000
0.500 0.500 0.500
```

Calculated values
Spin magnetization: 0.00 μB per formula unit
DFT total energy: -8.76 eV/atom
SG: Pm-3m, No. 221
D(E_F): 6.64 states/eV per cell
Volume: 106 Å³/f.u.

---

(13)
This record from the Alexandria database describes crystalline LuGeRh at its relaxed geometry. The functional is GGA-PBE.

Structure (POSCAR):
```
LuGeRh
1.0
4.262 0.000 0.000
0.000 6.776 0.000
0.000 0.000 7.538
Lu Ge Rh
4 4 4
Direct
0.250 0.006 0.804
0.750 0.494 0.304
0.750 0.994 0.196
0.250 0.506 0.696
0.250 0.784 0.391
0.250 0.284 0.109
0.750 0.216 0.609
0.750 0.716 0.891
0.250 0.657 0.065
0.750 0.343 0.935
0.250 0.157 0.435
0.750 0.843 0.565
```

Calculated values
Spin magnetization: 0.00 μB per formula unit
DFT total energy: -6.49 eV/atom
SG: Pnma, No. 62
D(E_F): 6.03 states/eV per cell
Volume: 54 Å³/f.u.

---

(14)
This record from the Alexandria database describes crystalline Cs3Dy2CdS6 at its relaxed geometry. The functional is GGA-PBE.

Structure (POSCAR):
```
Cs3Dy2CdS6
1.0
-4.466 -2.333 5.007
5.400 -4.097 -2.126
4.379 5.354 4.731
S Cd Cs Dy
6 1 3 2
Direct
0.601 0.939 0.817
0.723 0.723 0.182
0.061 0.399 0.183
0.277 0.277 0.818
0.399 0.061 0.183
0.939 0.601 0.817
0.000 0.000 0.000
0.500 0.500 0.500
0.836 0.164 0.500
0.164 0.836 0.500
0.333 0.667 0.000
0.667 0.333 0.000
```

Calculated values
Spin magnetization: 0.33 μB per formula unit
DFT total energy: -4.48 eV/atom
SG: C2/m, No. 12
Energy relative to the elements, uncorrected: -1.3590 eV per atom
D(E_F): 14.76 states/eV per cell
Volume: 352 Å³/f.u.

---

(15)
This record from the Alexandria database describes crystalline La2HoOsC2 at its relaxed geometry. The functional is GGA-PBE.

Structure (POSCAR):
```
La2HoOsC2
1.0
-1.254 -1.287 3.413
4.586 -3.471 0.376
5.822 8.262 5.253
C Os La Ho
4 2 4 2
Direct
0.000 0.722 0.900
0.500 0.222 0.600
0.000 0.278 0.100
0.500 0.778 0.400
0.000 0.000 0.000
0.500 0.500 0.500
0.000 0.552 0.292
0.500 0.052 0.208
0.500 0.948 0.792
0.000 0.448 0.708
0.000 0.000 0.500
0.500 0.500 0.000
```

Calculated values
Spin magnetization: 0.00 μB per formula unit
DFT total energy: -7.39 eV/atom
SG: Pnnm, No. 58
D(E_F): 10.56 states/eV per cell
Volume: 127 Å³/f.u.

---

(16)
This record from the Alexandria database describes crystalline SmZnPt2 at its relaxed geometry. The functional is GGA-PBE.

Structure (POSCAR):
```
SmZnPt2
1.0
4.343 0.000 0.000
0.000 6.995 0.000
0.000 0.000 10.152
Pt Sm Zn
8 4 4
Direct
0.250 0.932 0.154
0.250 0.249 0.964
0.250 0.432 0.346
0.250 0.749 0.536
0.750 0.251 0.464
0.750 0.068 0.846
0.750 0.751 0.036
0.750 0.568 0.654
0.250 0.274 0.671
0.250 0.774 0.829
0.750 0.226 0.171
0.750 0.726 0.329
0.250 0.056 0.393
0.250 0.556 0.107
0.750 0.944 0.607
0.750 0.444 0.893
```

Calculated values
Spin magnetization: 0.00 μB per formula unit
DFT total energy: -5.42 eV/atom
SG: Pnma, No. 62
D(E_F): 5.59 states/eV per cell
Volume: 77 Å³/f.u.

---

(17)
This record from the Alexandria database describes crystalline SrPa2AuS8 at its relaxed geometry. The functional is GGA-PBE.

Structure (POSCAR):
```
SrPa2AuS8
1.0
6.322 0.000 0.000
-3.161 5.475 0.000
0.000 0.000 7.873
S Au Pa Sr
8 1 2 1
Direct
0.821 0.179 0.822
0.821 0.641 0.822
0.333 0.667 0.580
0.667 0.333 0.420
0.179 0.821 0.178
0.179 0.359 0.178
0.641 0.821 0.178
0.359 0.179 0.822
0.000 0.000 0.000
0.333 0.667 0.890
0.667 0.333 0.110
0.000 0.000 0.500
```

Calculated values
Spin magnetization: 0.16 μB per formula unit
DFT total energy: -5.69 eV/atom
SG: P-3m1, No. 164
Energy relative to the elements, uncorrected: -0.9427 eV per atom
D(E_F): 4.20 states/eV per cell
Volume: 272 Å³/f.u.

---

(18)
This record from the Alexandria database describes crystalline LaYb3 at its relaxed geometry. The functional is GGA-PBE.

Structure (POSCAR):
```
LaYb3
1.0
5.878 0.000 0.000
2.939 5.091 0.000
2.939 1.697 4.799
Yb La
3 1
Direct
0.750 0.750 0.750
0.250 0.250 0.250
0.500 0.500 0.500
0.000 0.000 0.000
```

Calculated values
Spin magnetization: 0.36 μB per formula unit
DFT total energy: -2.44 eV/atom
SG: Fm-3m, No. 225
D(E_F): 43.36 states/eV per cell
Volume: 144 Å³/f.u.

---

(19)
This record from the Alexandria database describes crystalline LiGePd2 at its relaxed geometry. The functional is GGA-PBE.

Structure (POSCAR):
```
LiGePd2
1.0
-0.673 -3.820 1.648
0.088 -3.408 -2.477
4.031 -2.836 0.460
Ge Pd Li
1 2 1
Direct
0.686 0.686 0.941
0.275 0.275 0.175
0.054 0.054 0.839
0.485 0.485 0.545
```

Calculated values
Spin magnetization: 0.00 μB per formula unit
DFT total energy: -4.62 eV/atom
SG: R3m, No. 160
D(E_F): 1.86 states/eV per cell
Volume: 66 Å³/f.u.

---

(20)
This record from the Alexandria database describes crystalline NaRuCl6 at its relaxed geometry. The functional is GGA-PBE.

Structure (POSCAR):
```
NaRuCl6
1.0
6.469 0.011 0.008
3.230 5.608 0.009
3.225 1.863 5.885
Cl Ru Na
6 1 1
Direct
0.796 0.047 0.774
0.204 0.953 0.226
0.383 0.796 0.773
0.953 0.617 0.227
0.047 0.383 0.773
0.617 0.204 0.227
0.000 0.000 0.000
0.500 0.500 0.500
```

Calculated values
Spin magnetization: 2.93 μB per formula unit
DFT total energy: -3.44 eV/atom
SG: R-3, No. 148
Energy relative to the elements, uncorrected: -0.7327 eV per atom
D(E_F): 0.12 states/eV per cell
Volume: 213 Å³/f.u.

---

(21)
This record from the Alexandria database describes crystalline AgMo2Ru2 at its relaxed geometry. The functional is GGA-PBE.

Structure (POSCAR):
```
AgMo2Ru2
1.0
7.641 0.000 0.000
0.000 7.641 0.000
0.000 0.000 2.790
Ru Mo Ag
4 4 2
Direct
0.847 0.347 0.500
0.153 0.653 0.500
0.347 0.153 0.500
0.653 0.847 0.500
0.361 0.861 0.000
0.139 0.361 0.000
0.639 0.139 0.000
0.861 0.639 0.000
0.500 0.500 0.000
0.000 0.000 0.000
```

Calculated values
Spin magnetization: 0.00 μB per formula unit
DFT total energy: -8.32 eV/atom
SG: P4/mbm, No. 127
D(E_F): 6.50 states/eV per cell
Volume: 81 Å³/f.u.

---

(22)
This record from the Alexandria database describes crystalline Ti2AgO4 at its relaxed geometry. The functional is GGA-PBE.

Structure (POSCAR):
```
Ti2AgO4
1.0
6.231 0.226 -0.099
-0.224 6.231 0.099
-2.931 -3.296 4.409
O Ti Ag
8 4 2
Direct
0.854 0.146 0.708
0.812 0.604 0.208
0.396 0.604 0.792
0.396 0.604 0.208
0.438 0.146 0.292
0.396 0.188 0.792
0.854 0.146 0.292
0.854 0.562 0.708
0.625 0.375 0.750
0.625 0.875 0.250
0.625 0.375 0.250
0.125 0.375 0.750
0.250 0.750 0.500
0.000 0.000 0.000
```

Calculated values
Spin magnetization: 0.49 μB per formula unit
DFT total energy: -7.78 eV/atom
SG: Fd-3m, No. 227
Energy relative to the elements, uncorrected: -2.2861 eV per atom
D(E_F): 5.45 states/eV per cell
Volume: 86 Å³/f.u.

---

(23)
This record from the Alexandria database describes crystalline SrCoB at its relaxed geometry. The functional is GGA-PBE.

Structure (POSCAR):
```
SrCoB
1.0
3.654 0.000 0.000
0.000 3.654 0.000
0.000 0.000 8.783
B Sr Co
2 2 2
Direct
0.000 0.500 0.410
0.500 0.000 0.590
0.000 0.500 0.788
0.500 0.000 0.212
0.000 0.000 0.500
0.500 0.500 0.500
```

Calculated values
Spin magnetization: 0.00 μB per formula unit
DFT total energy: -5.41 eV/atom
SG: P4/nmm, No. 129
D(E_F): 2.75 states/eV per cell
Volume: 59 Å³/f.u.